# HgTe2Pt

A PBEsol-optimized structure of HgTe2Pt (meta-GGA SCAN, Alexandria via LeMat-Bulk).

abc: 5.665 5.665 2.973
angles: 90.00 90.00 90.00
Space group P4/mmm (No. 123)
Symmetry-distinct sites (fractional):
Hg1 0.000 0.000 0.000 (multiplicity 1)
Te1 0.000 0.500 0.000 (multiplicity 2)
Pt1 0.500 0.500 0.000 (multiplicity 1)

Calculated values
Formation energy (no corrections), meV/atom: 38